(1)
Crystalline CaZn2Ir at its relaxed geometry, computed with PBE.

DFT total energy   -3.308 eV/atom
D(E_F)   1.99 states/eV/f.u.
Mass density   8.782 g/cm³
Formation enthalpy at 0 K   0.045 eV/atom

Cell lengths 5.6398, 7.8233, 3.1124 Å; angles 90.00, 90.00, 90.00 degrees
Positions (direct):
Ca1 0.0000 0.0000 0.0000
Ca2 0.5000 0.5000 0.0000
Zn1 0.2500 0.2500 0.5000
Zn2 0.2500 0.7500 0.5000
Zn3 0.7500 0.2500 0.5000
Zn4 0.7500 0.7500 0.5000
Ir1 0.0000 0.5000 0.0000
Ir2 0.5000 0.0000 0.0000

---

(2)
Crystalline CaZn2Ir2 at its relaxed geometry, computed with PBE.

DFT total energy   -4.697 eV/atom
D(E_F)   2.93 states/eV/f.u.
Mass density   11.209 g/cm³
Formation enthalpy at 0 K   -0.242 eV/atom

Cell lengths 7.5278, 7.5278, 2.9035 Å; angles 90.00, 90.00, 90.00 degrees
Positions (direct):
Ca1 0.0000 0.0000 0.0000
Ca2 0.5000 0.5000 0.0000
Zn1 0.1271 0.3729 0.0000
Zn2 0.3729 0.8729 0.0000
Zn3 0.6271 0.1271 0.0000
Zn4 0.8729 0.6271 0.0000
Ir1 0.1684 0.6684 0.5000
Ir2 0.3316 0.1684 0.5000
Ir3 0.6684 0.8316 0.5000
Ir4 0.8316 0.3316 0.5000

---

(3)
Crystalline CaZnIr2 at its relaxed geometry, computed with PBE.

DFT total energy   -5.266 eV/atom
D(E_F)   4.27 states/eV/f.u.
Mass density   11.550 g/cm³
Formation enthalpy at 0 K   -0.017 eV/atom

Cell lengths 2.8411, 3.9002, 6.3567 Å; angles 90.00, 90.00, 90.00 degrees
Positions (direct):
Ca1 0.0000 0.0000 0.0000
Zn1 0.5000 0.5000 0.6924
Ir1 0.0000 0.0000 0.4825
Ir2 0.5000 0.5000 0.2932

---

(4)
Crystalline Ca3Zn8Ir3 at its relaxed geometry, computed with PBE.

DFT total energy   -3.354 eV/atom
D(E_F)   7.17 states/eV/f.u.
Mass density   7.883 g/cm³
Formation enthalpy at 0 K   -0.299 eV/atom

Cell lengths 8.1245, 8.1245, 8.1245 Å; angles 148.52, 110.68, 78.12 degrees
Positions (direct):
Ca1 0.0000 0.0000 0.0000
Ca2 0.2980 0.2980 0.0000
Ca3 0.7020 0.7020 0.0000
Zn1 0.0074 0.6514 0.3560
Zn2 0.1574 0.8747 0.2827
Zn3 0.2953 0.6514 0.6440
Zn4 0.4080 0.1253 0.2827
Zn5 0.5920 0.8747 0.7173
Zn6 0.7047 0.3486 0.3560
Zn7 0.8426 0.1253 0.7173
Zn8 0.9926 0.3486 0.6440
Ir1 0.3346 0.5000 0.8346
Ir2 0.5000 0.0000 0.5000
Ir3 0.6654 0.5000 0.1654

---

(5)
Crystalline CaZn2Ir at its relaxed geometry, computed with PBE.

DFT total energy   -3.190 eV/atom
D(E_F)   3.57 states/eV/f.u.
Mass density   7.970 g/cm³
Formation enthalpy at 0 K   0.163 eV/atom

Cell lengths 3.1593, 3.1593, 26.2564 Å; angles 90.00, 90.00, 120.00 degrees
Positions (direct):
Ca1 0.0000 0.0000 0.0000
Ca2 0.3333 0.6667 0.6667
Ca3 0.6667 0.3333 0.3333
Zn1 0.0000 0.0000 0.2378
Zn2 0.0000 0.0000 0.7622
Zn3 0.3333 0.6667 0.4288
Zn4 0.3333 0.6667 0.9045
Zn5 0.6667 0.3333 0.0955
Zn6 0.6667 0.3333 0.5712
Ir1 0.0000 0.0000 0.5000
Ir2 0.3333 0.6667 0.1667
Ir3 0.6667 0.3333 0.8333

---

(6)
Crystalline CaZn2Ir at its relaxed geometry, computed with PBE.

DFT total energy   -3.658 eV/atom
D(E_F)   1.28 states/eV/f.u.
Mass density   7.225 g/cm³
Formation enthalpy at 0 K   -0.306 eV/atom

Cell lengths 7.5640, 4.3647, 5.6631 Å; angles 90.00, 116.78, 90.00 degrees
Positions (direct):
Ca1 0.0000 0.0000 0.0000
Ca2 0.5000 0.5000 0.0000
Zn1 0.0312 0.5000 0.5919
Zn2 0.3048 0.5000 0.4143
Zn3 0.5312 0.0000 0.5919
Zn4 0.8048 0.0000 0.4143
Ir1 0.1935 0.0000 0.5787
Ir2 0.6935 0.5000 0.5787

---

(7)
Crystalline CaZnIr3 at its relaxed geometry, computed with PBE.

DFT total energy   -5.169 eV/atom
D(E_F)   6.74 states/eV/f.u.
Mass density   11.511 g/cm³
Formation enthalpy at 0 K   0.803 eV/atom

Cell lengths 4.6168, 4.6168, 4.6168 Å; angles 90.00, 90.00, 90.00 degrees
Positions (direct):
Ca1 0.0000 0.0000 0.0000
Zn1 0.5000 0.5000 0.5000
Ir1 0.0000 0.5000 0.5000
Ir2 0.5000 0.0000 0.5000
Ir3 0.5000 0.5000 0.0000

---

(8)
Crystalline CaZn3Ir at its relaxed geometry, computed with PBE.

DFT total energy   -1.283 eV/atom
D(E_F)   4.56 states/eV/f.u.
Mass density   4.957 g/cm³
Formation enthalpy at 0 K   1.654 eV/atom

Cell lengths 5.2361, 5.2361, 5.2361 Å; angles 90.00, 90.00, 90.00 degrees
Positions (direct):
Ca1 0.0000 0.0000 0.0000
Zn1 0.0000 0.0000 0.5000
Zn2 0.0000 0.5000 0.0000
Zn3 0.5000 0.0000 0.0000
Ir1 0.5000 0.5000 0.5000

---

(9)
Crystalline CaZn2Ir at its relaxed geometry, computed with PBE.

DFT total energy   -3.492 eV/atom
D(E_F)   0.90 states/eV/f.u.
Mass density   7.597 g/cm³
Formation enthalpy at 0 K   -0.139 eV/atom

Cell lengths 3.4906, 4.3888, 5.1807 Å; angles 90.00, 90.00, 90.00 degrees
Positions (direct):
Ca1 0.0000 0.0000 0.0000
Zn1 0.5000 0.0000 0.5275
Zn2 0.5000 0.5000 0.2725
Ir1 0.5000 0.5000 0.7779

---

(10)
Crystalline CaZn3Ir2 at its relaxed geometry, computed with PBE.

DFT total energy   -4.250 eV/atom
D(E_F)   3.87 states/eV/f.u.
Mass density   9.385 g/cm³
Formation enthalpy at 0 K   -0.326 eV/atom

Cell lengths 6.2396, 6.2396, 5.6819 Å; angles 90.00, 90.00, 83.23 degrees
Positions (direct):
Ca1 0.1414 0.8586 0.7500
Ca2 0.8586 0.1414 0.2500
Zn1 0.0436 0.5667 0.2500
Zn2 0.4333 0.9564 0.2500
Zn3 0.4805 0.5195 0.2500
Zn4 0.5195 0.4805 0.7500
Zn5 0.5667 0.0436 0.7500
Zn6 0.9564 0.4333 0.7500
Ir1 0.2724 0.2724 0.0000
Ir2 0.2724 0.2724 0.5000
Ir3 0.7276 0.7276 0.0000
Ir4 0.7276 0.7276 0.5000

---

(11)
Crystalline CaZn2Ir at its relaxed geometry, computed with PBE.

DFT total energy   -3.425 eV/atom
D(E_F)   2.30 states/eV/f.u.
Mass density   8.569 g/cm³
Formation enthalpy at 0 K   -0.073 eV/atom

Cell lengths 4.1361, 4.1361, 8.2266 Å; angles 90.00, 90.00, 90.00 degrees
Positions (direct):
Ca1 0.0000 0.0000 0.0000
Ca2 0.5000 0.5000 0.5000
Zn1 0.0000 0.0000 0.5000
Zn2 0.0000 0.5000 0.2500
Zn3 0.5000 0.0000 0.7500
Zn4 0.5000 0.5000 0.0000
Ir1 0.0000 0.5000 0.7500
Ir2 0.5000 0.0000 0.2500

---

(12)
Crystalline Ca3ZnIr at its relaxed geometry, computed with PBE.

DFT total energy   -3.531 eV/atom
D(E_F)   2.96 states/eV/f.u.
Mass density   4.708 g/cm³
Formation enthalpy at 0 K   -0.303 eV/atom

Cell lengths 6.8841, 7.7367, 10.0285 Å; angles 90.00, 93.63, 90.00 degrees
Positions (direct):
Ca1 0.1614 0.1366 0.4140
Ca2 0.1614 0.3634 0.9140
Ca3 0.2020 0.5443 0.6096
Ca4 0.2020 0.9557 0.1096
Ca5 0.2859 0.5104 0.2309
Ca6 0.2859 0.9896 0.7309
Ca7 0.7141 0.0104 0.2691
Ca8 0.7141 0.4896 0.7691
Ca9 0.7980 0.0443 0.8904
Ca10 0.7980 0.4557 0.3904
Ca11 0.8386 0.6366 0.0860
Ca12 0.8386 0.8634 0.5860
Zn1 0.4115 0.6915 0.9355
Zn2 0.4115 0.8085 0.4355
Zn3 0.5885 0.1915 0.5645
Zn4 0.5885 0.3085 0.0645
Ir1 0.0568 0.7324 0.8553
Ir2 0.0568 0.7676 0.3553
Ir3 0.9432 0.2324 0.6447
Ir4 0.9432 0.2676 0.1447